No. 1
Al3GaTe | Alexandria via LeMat-Bulk | GGA-PBE | relaxed; offset from the most stable computed form = 0.0 kJ per mole of atoms; formation energy without anion corrections = 0.307 eV/atom
1.0
-3.5021 -1.9282 2.9176
-0.1486 -4.0432 -2.8505
3.4940 -2.1046 2.8031
Al Ga Te
3 1 1
Cartesian
-1.7510 -0.9641 1.4588
1.7470 -1.0523 1.4015
-0.0743 -2.0216 -1.4252
0.0000 0.0000 0.0000
-0.0783 -4.0380 1.4351

=====

No. 2
AlGaTe2 | Alexandria via LeMat-Bulk | GGA-PBE | relaxed; formation energy without anion corrections = 0.084 eV/atom
1.0
1.3636 -4.7507 1.5005
-2.6562 -2.3929 3.7281
-3.0082 -4.0366 -1.1560
Te Al Ga
2 1 1
Cartesian
-3.2257 -8.3851 3.0544
-1.0752 -2.7950 1.0181
0.0000 0.0000 0.0000
-2.1504 -5.5901 2.0363

=====

No. 3
AlGa2Te2 | Alexandria via LeMat-Bulk | GGA-PBE | relaxed; offset from the most stable computed form = 0.0 kJ per mole of atoms; formation energy without anion corrections = 0.023 eV/atom
1.0
-4.7132 -1.4662 2.6409
0.7019 -5.2920 -1.6853
0.1637 -4.1822 3.9034
Ga Te Al
2 2 1
Cartesian
-1.3332 -3.6280 1.5396
-2.5144 -7.3124 3.3195
-0.5700 -6.4267 1.3480
-3.2776 -4.5138 3.5111
0.0000 0.0000 0.0000

=====

No. 4
Al2GaTe | Alexandria via LeMat-Bulk | GGA-PBE | relaxed; offset from the most stable computed form = 0.0 kJ per mole of atoms; formation energy without anion corrections = 0.046 eV/atom
1.0
-0.2686 -4.0452 -4.6396
4.4459 -3.3393 2.6541
-2.0546 -6.8380 1.9899
Al Te Ga
4 2 2
Cartesian
2.2225 -4.4373 1.4214
1.9658 -11.4784 -0.3335
0.1740 -8.0092 0.8365
-0.1168 -4.5201 -1.9156
-0.1173 -7.2877 -1.8212
0.0000 0.0000 0.0000
2.2400 -6.9348 1.8257
2.0887 -3.6923 -0.9927

=====

No. 5
AlGa2Te2 | Alexandria via LeMat-Bulk | GGA-PBE | relaxed; offset from the most stable computed form = 5.5 kJ per mole of atoms; formation energy without anion corrections = 0.080 eV/atom
1.0
-1.3588 -7.5266 1.8400
7.7218 -1.1612 0.9526
-0.3245 0.9993 3.8481
Te Al Ga
4 2 4
Cartesian
4.8867 -1.7031 2.9218
1.1518 -5.9854 3.7189
0.8539 -2.0751 2.6783
5.1846 -5.6134 3.9623
3.1815 -4.3439 1.3963
0.0000 0.0000 0.0000
0.1142 -4.8469 1.2683
6.2487 -3.8409 1.5243
3.6347 -7.3132 2.2056
2.7283 -1.3746 0.5870

=====

No. 6
AlTl2GaTe4 | Alexandria via LeMat-Bulk | GGA-PBE | relaxed; formation energy without anion corrections = -0.359 eV/atom
1.0
7.8717 -0.0016 -0.0059
-0.0035 7.8706 -0.0049
-3.9320 -3.9325 4.6336
Te Tl Al Ga
4 2 1 1
Cartesian
1.9663 5.2806 0.9954
2.5916 1.9689 3.3653
-2.5882 -1.9647 3.3721
5.9040 2.5895 0.9949
-0.0005 3.9365 4.4930
0.0004 -0.0001 2.1811
3.9375 0.0016 4.4946
3.9357 3.9356 2.1774

=====

No. 7
Th2Al2Ga | Alexandria via LeMat-Bulk | GGA-PBE | relaxed; ΔE_f = -42.6 kJ/mol of atoms
1.0
4.3511 0.0000 0.0000
2.1755 5.6138 -0.1624
2.1755 0.5893 9.9991
Al Th Ga
4 4 2
Cartesian
6.5266 3.9440 3.9863
2.1755 2.2591 5.8503
2.1755 0.8205 1.1675
6.5266 5.3827 8.6691
2.1755 3.9911 0.8173
4.3511 1.5521 3.4719
4.3511 4.6510 6.3648
6.5266 2.2120 9.0194
4.3511 1.4054 6.8235
4.3511 4.7977 3.0132

=====

No. 8
ThAlGa2 | Alexandria via LeMat-Bulk | GGA-PBE | relaxed; ΔE_f = -35.8 kJ/mol of atoms
1.0
-2.6682 1.6479 3.0924
-0.1991 -1.8914 3.9725
2.8053 2.9481 3.9858
Ga Al Th
2 1 1
Cartesian
-0.4153 1.7314 8.1281
0.3533 0.9732 2.9226
-0.0310 1.3523 5.5253
0.0000 0.0000 0.0000

=====

No. 9
ThAlGa2 | Alexandria via LeMat-Bulk | GGA-PBE | relaxed; ΔE_f = -28.2 kJ/mol of atoms
1.0
-0.1447 0.4018 3.2281
-5.5444 -0.0554 -0.2417
2.6940 -4.7988 0.7181
Ga Th Al
2 1 1
Cartesian
-0.5934 -4.3705 2.1597
0.8316 -1.9437 1.9215
2.2513 -4.5440 0.6665
-1.9409 -1.9709 1.8006

=====

No. 10
Th2AlGa | Alexandria via LeMat-Bulk | GGA-PBE | relaxed; ΔE_f = -41.2 kJ/mol of atoms; offset from the most stable computed form = 0.0 kJ per mole of atoms
1.0
-3.6451 1.9589 0.1373
-2.0972 -3.8573 -0.6436
0.8219 1.1119 5.9549
Th Ga Al
2 1 1
Cartesian
-1.9453 0.5370 3.1199
-1.2665 -2.7138 5.0937
-2.8951 -1.0357 0.3433
-1.1369 -2.2468 1.8727

=====

No. 11
ThAlGa | Alexandria via LeMat-Bulk | GGA-PBE | relaxed; ΔE_f = -54.1 kJ/mol of atoms
1.0
4.2853 0.0000 0.0000
0.0000 4.2853 0.0000
-2.1427 -2.1427 7.4823
Al Ga Th
2 2 2
Cartesian
2.1426 0.0000 2.4818
2.1427 0.0000 5.0004
0.0000 0.0000 1.2340
2.1427 2.1427 6.2483
2.1427 2.1427 0.0000
0.0000 2.1427 3.7411

=====

No. 12
ThAlGa | Alexandria via LeMat-Bulk | GGA-PBE | relaxed; ΔE_f = -54.8 kJ/mol of atoms
1.0
4.2339 0.0000 0.0000
0.0000 4.3189 0.0000
0.0000 -2.1594 3.7402
Th Ga Al
1 1 1
Cartesian
2.8228 2.1594 1.2467
0.7052 0.0000 2.4935
0.7059 0.0000 0.0000

=====

What did the eleventh record say?
ThAlGa | Alexandria via LeMat-Bulk | GGA-PBE | relaxed; ΔE_f = -54.1 kJ/mol of atoms
1.0
4.2853 0.0000 0.0000
0.0000 4.2853 0.0000
-2.1427 -2.1427 7.4823
Al Ga Th
2 2 2
Cartesian
2.1426 0.0000 2.4818
2.1427 0.0000 5.0004
0.0000 0.0000 1.2340
2.1427 2.1427 6.2483
2.1427 2.1427 0.0000
0.0000 2.1427 3.7411